(1)
The following is a SCAN calculation of LaSi2Cl at its PBEsol-relaxed geometry, from Alexandria.

Calculated values
ΔE to the lowest computed polymorph = 0.210 eV/atom
ΔE_f (raw) = -0.5316 eV per atom
Volume = 92.3 Å³ per cell
M_tot = 0.0 μB/f.u.

Cell lengths 3.789, 6.014, 4.052 Å; angles 90.00, 90.42, 90.00 degrees
Space group P2/m (No. 10)
One atom of each set of equivalent atoms:
La1 0.000 0.000 0.000 (multiplicity 1)
Si1 0.249 0.500 0.820 (multiplicity 2)
Cl1 0.500 0.000 0.500 (multiplicity 1)

---

(2)
The following is a SCAN calculation of La2SnCl2 at its PBEsol-relaxed geometry, from Alexandria.

Calculated values
ΔE_f (raw) = -1.7222 eV per atom
Volume = 272.0 Å³ per cell
M_tot = 0.0 μB/f.u.

Cell lengths 4.292, 4.292, 14.769 Å; angles 90.00, 90.00, 90.00 degrees
Space group I4/mmm (No. 139)
One atom of each set of equivalent atoms:
La1 0.000 0.000 0.118 (multiplicity 4)
Sn1 0.000 0.000 0.500 (multiplicity 2)
Cl1 0.000 0.500 0.250 (multiplicity 4)

---

(3)
The following is a SCAN calculation of La5Sn3Cl at its PBEsol-relaxed geometry, from Alexandria.

Calculated values
ΔE_f (raw) = -1.2229 eV per atom
Volume = 531.6 Å³ per cell
M_tot = 2.0 μB/f.u.

Cell lengths 9.5364, 9.5364, 6.7491 Å; angles 90.00, 90.00, 120.00 degrees
Space group P6_3/mcm (No. 193)
One atom of each set of equivalent atoms:
La1 0.0000 0.2597 0.2500 (multiplicity 6)
La2 0.3333 0.6667 0.0000 (multiplicity 4)
Sn1 0.0000 0.3872 0.7500 (multiplicity 6)
Cl1 0.0000 0.0000 0.0000 (multiplicity 2)

---

(4)
The following is a SCAN calculation of LaSn3Cl at its PBEsol-relaxed geometry, from Alexandria.

Calculated values
ΔE_f (raw) = -0.0704 eV per atom
Volume = 145.0 Å³ per cell
M_tot = 0.0 μB/f.u.

Cell lengths 5.254, 5.254, 5.254 Å; angles 90.00, 90.00, 90.00 degrees
Space group Pm-3m (No. 221)
One atom of each set of equivalent atoms:
La1 0.000 0.000 0.000 (multiplicity 1)
Sn1 0.000 0.500 0.500 (multiplicity 3)
Cl1 0.500 0.500 0.500 (multiplicity 1)

---

(5)
The following is a SCAN calculation of LaTaSnCl2 at its PBEsol-relaxed geometry, from Alexandria.

Calculated values
ΔE_f (raw) = 0.7542 eV per atom
Volume = 170.0 Å³ per cell
M_tot = 4.8 μB/f.u.

Cell lengths 5.118, 5.118, 6.489 Å; angles 90.00, 90.00, 90.00 degrees
Space group P4/mmm (No. 123)
One atom of each set of equivalent atoms:
La1 0.000 0.000 0.000 (multiplicity 1)
Ta1 0.500 0.500 0.000 (multiplicity 1)
Sn1 0.000 0.000 0.500 (multiplicity 1)
Cl1 0.000 0.500 0.500 (multiplicity 2)

---

(6)
The following is a SCAN calculation of Sr5La2Cl16 at its PBEsol-relaxed geometry, from Alexandria.

Calculated values
ΔE_f (raw) = -2.6391 eV per atom
Volume = 2643.9 Å³ per cell
M_tot = 0.0 μB/f.u.

Cell lengths 9.356, 15.218, 18.569 Å; angles 90.00, 90.00, 90.00 degrees
Space group Ccce (No. 68, origin choice 2)
One atom of each set of equivalent atoms:
Sr1 0.000 0.250 0.032 (multiplicity 8)
Sr2 0.000 0.250 0.750 (multiplicity 4)
Sr3 0.250 0.000 0.099 (multiplicity 8)
La1 0.250 0.000 0.356 (multiplicity 8)
Cl1 0.010 0.106 0.359 (multiplicity 16)
Cl2 0.107 0.079 0.966 (multiplicity 16)
Cl3 0.181 0.102 0.739 (multiplicity 16)
Cl4 0.192 0.203 0.585 (multiplicity 16)

---

(7)
The following is a SCAN calculation of Sr3La2Cl12 at its PBEsol-relaxed geometry, from Alexandria.

Calculated values
ΔE_f (raw) = -2.6927 eV per atom
Volume = 3907.5 Å³ per cell
M_tot = 0.0 μB/f.u.

Cell lengths 9.737, 13.842, 28.992 Å; angles 90.00, 90.00, 90.00 degrees
Space group Fddd (No. 70, origin choice 2)
One atom of each set of equivalent atoms:
Sr1 0.125 0.125 0.125 (multiplicity 8)
Sr2 0.125 0.125 0.460 (multiplicity 16)
La1 0.125 0.125 0.297 (multiplicity 16)
Cl1 0.111 0.006 0.875 (multiplicity 32)
Cl2 0.116 0.005 0.039 (multiplicity 32)
Cl3 0.116 0.262 0.539 (multiplicity 32)

---

(8)
The following is a SCAN calculation of SrLa2Cl2 at its PBEsol-relaxed geometry, from Alexandria.

Calculated values
ΔE_f (raw) = -1.1669 eV per atom
Volume = 357.5 Å³ per cell
M_tot = 1.8 μB/f.u.

Cell lengths 4.404, 4.404, 18.432 Å; angles 90.00, 90.00, 90.00 degrees
Space group I4/mmm (No. 139)
One atom of each set of equivalent atoms:
Sr1 0.000 0.000 0.000 (multiplicity 2)
La1 0.000 0.000 0.353 (multiplicity 4)
Cl1 0.000 0.500 0.250 (multiplicity 4)